w:
Here is crystalline NiPCl2 at its relaxed geometry from Alexandria. Energies are from PBE.

Crystal system: orthorhombic
Fermi-level density of states (states/eV/f.u.): 1.54

Unit cell a=4.5281 b=13.4289 c=3.1839 alpha=90.00 beta=90.00 gamma=90.00
Space group Cmmm (No. 65)
Symmetry-distinct sites (fractional):
1 Ni 0.0000 0.0000 0.0000 [2 per cell]
2 P 0.0000 0.5000 0.0000 [2 per cell]
3 Cl 0.0000 0.1258 0.5000 [4 per cell]

x:
Here is crystalline NiPCl2 at its relaxed geometry from Alexandria. Energies are from PBE.

Crystal system: trigonal
Fermi-level density of states (states/eV/f.u.): 4.00

Unit cell a=3.3430 b=3.3430 c=24.3447 alpha=90.00 beta=90.00 gamma=120.00
Space group R3m (No. 160, hexagonal axes)
Symmetry-distinct sites (fractional):
1 Ni 0.0000 0.0000 0.0000 [3 per cell]
2 P 0.0000 0.0000 0.7146 [3 per cell]
3 Cl 0.0000 0.0000 0.2754 [3 per cell]
4 Cl 0.0000 0.0000 0.4559 [3 per cell]

y:
Here is crystalline NiPCl2 at its relaxed geometry from Alexandria. Energies are from PBE.

Crystal system: trigonal
Fermi-level density of states (states/eV/f.u.): 1.17

Unit cell a=3.2670 b=3.2670 c=31.6963 alpha=90.00 beta=90.00 gamma=120.00
Space group R-3m (No. 166, hexagonal axes)
Symmetry-distinct sites (fractional):
1 Ni 0.0000 0.0000 0.0000 [3 per cell]
2 P 0.0000 0.0000 0.5000 [3 per cell]
3 Cl 0.0000 0.0000 0.2892 [6 per cell]

Most stable: x (next structure +34.2 kJ/mol of atoms)

w:
Here is crystalline NiPCl2 at its relaxed geometry from Alexandria. Energies are from PBE.

Crystal system: orthorhombic
Fermi-level density of states (states/eV/f.u.): 3.14

Unit cell a=2.9657 b=3.1796 c=8.2073 alpha=90.00 beta=90.00 gamma=90.00
Space group Pmm2 (No. 25)
Symmetry-distinct sites (fractional):
1 Ni 0.0000 0.0000 0.0000 [1 per cell]
2 P 0.5000 0.5000 0.9029 [1 per cell]
3 Cl 0.0000 0.0000 0.2696 [1 per cell]
4 Cl 0.5000 0.5000 0.6571 [1 per cell]

x:
Here is crystalline NiPCl2 at its relaxed geometry from Alexandria. Energies are from PBE.

Crystal system: monoclinic
Fermi-level density of states (states/eV/f.u.): 1.61

Unit cell a=15.8963 b=3.2764 c=3.2789 alpha=90.00 beta=101.03 gamma=90.00
Space group C2/m (No. 12)
Symmetry-distinct sites (fractional):
1 Ni 0.0000 0.0000 0.0000 [2 per cell]
2 P 0.0000 0.5000 0.5000 [2 per cell]
3 Cl 0.1414 0.5000 0.6335 [4 per cell]

Most stable: w (next structure +15.7 kJ/mol of atoms)

w:
Here is crystalline NiPPtCl2 at its relaxed geometry from Alexandria. Energies are from PBE.

Crystal system: tetragonal
Fermi-level density of states (states/eV/f.u.): 5.88

Unit cell a=4.3939 b=4.3939 c=4.7519 alpha=90.00 beta=90.00 gamma=90.00
Space group P4/mmm (No. 123)
Symmetry-distinct sites (fractional):
1 Ni 0.0000 0.0000 0.0000 [1 per cell]
2 P 0.0000 0.0000 0.5000 [1 per cell]
3 Pt 0.5000 0.5000 0.5000 [1 per cell]
4 Cl 0.0000 0.5000 0.0000 [2 per cell]

x:
Here is crystalline NiPPtCl2 at its relaxed geometry from Alexandria. Energies are from PBE.

Crystal system: tetragonal
Fermi-level density of states (states/eV/f.u.): 13.19

Unit cell a=5.0086 b=5.0086 c=4.5353 alpha=90.00 beta=90.00 gamma=90.00
Space group P4/mmm (No. 123)
Symmetry-distinct sites (fractional):
1 Ni 0.0000 0.0000 0.0000 [1 per cell]
2 P 0.5000 0.5000 0.0000 [1 per cell]
3 Pt 0.5000 0.5000 0.5000 [1 per cell]
4 Cl 0.0000 0.5000 0.5000 [2 per cell]

Most stable: w (next structure +8.9 kJ/mol of atoms)

w:
Here is crystalline ReNiPCl2 at its relaxed geometry from Alexandria. Energies are from PBE.

Crystal system: tetragonal
Fermi-level density of states (states/eV/f.u.): 12.89

Unit cell a=4.8387 b=4.8387 c=4.6002 alpha=90.00 beta=90.00 gamma=90.00
Space group P4/mmm (No. 123)
Symmetry-distinct sites (fractional):
1 Re 0.0000 0.0000 0.0000 [1 per cell]
2 Ni 0.5000 0.5000 0.5000 [1 per cell]
3 P 0.0000 0.0000 0.5000 [1 per cell]
4 Cl 0.0000 0.5000 0.0000 [2 per cell]

x:
Here is crystalline ReNiPCl2 at its relaxed geometry from Alexandria. Energies are from PBE.

Crystal system: tetragonal
Fermi-level density of states (states/eV/f.u.): 2.69

Unit cell a=4.3563 b=4.3563 c=5.0414 alpha=90.00 beta=90.00 gamma=90.00
Space group P4/mmm (No. 123)
Symmetry-distinct sites (fractional):
1 Re 0.0000 0.0000 0.0000 [1 per cell]
2 Ni 0.5000 0.5000 0.5000 [1 per cell]
3 P 0.5000 0.5000 0.0000 [1 per cell]
4 Cl 0.0000 0.5000 0.5000 [2 per cell]

Most stable: w (next structure +12.1 kJ/mol of atoms)